Record 1
# CsTiInO4 | Alexandria via LeMat-Bulk | PBE | optimized geometry
# Density: 4466 kg/m3
# Volume: 267 Å³ per cell
# Raw formation energy: -2.14 eV per atom
data_CsTiInO4
_chemical_formula_sum 'Cs2 Ti2 In2 O8'
_cell_length_a 5.721
_cell_length_b 5.903
_cell_length_c 7.922
_cell_angle_alpha 90.00
_cell_angle_beta 91.71
_cell_angle_gamma 90.00
_space_group_name_H-M_alt 'P 1 21/m 1'
_space_group_IT_number 11
_space_group_name_Hall '-P 2yb'
loop_
_atom_site_label
_atom_site_type_symbol
_atom_site_fract_x
_atom_site_fract_y
_atom_site_fract_z
Cs1 Cs 0.242 0.250 0.391
Ti1 Ti 0.337 0.250 0.864
In1 In 0.167 0.750 0.034
O1 O 0.110 0.018 0.848
O2 O 0.399 0.750 0.263
O3 O 0.462 0.250 0.072

=====

Record 2
# Te2Au2Cl | Alexandria via LeMat-Bulk | PBE | optimized geometry
# Density: 8771 kg/m3
# Volume: 259 Å³ per cell
# ΔE to the lowest computed polymorph: 0.000 eV/f.u.
# Raw formation energy: 0.01 eV per atom
data_Te2Au2Cl
_chemical_formula_sum 'Te4 Au4 Cl2'
_cell_length_a 4.160
_cell_length_b 4.160
_cell_length_c 14.975
_cell_angle_alpha 90.00
_cell_angle_beta 90.00
_cell_angle_gamma 90.00
_space_group_name_H-M_alt 'I 4/m m m'
_space_group_IT_number 139
_space_group_name_Hall '-I 4 2'
loop_
_atom_site_label
_atom_site_type_symbol
_atom_site_fract_x
_atom_site_fract_y
_atom_site_fract_z
Te1 Te 0.000 0.000 0.124
Au1 Au 0.000 0.500 0.250
Cl1 Cl 0.000 0.000 0.500

=====

Record 3
# CePuN | Alexandria via LeMat-Bulk | PBE | optimized geometry
# Density: 12957 kg/m3
# Volume: 51 Å³ per cell
# ΔE to the lowest computed polymorph: 0.000 eV/f.u.
# Raw formation energy: -0.82 eV per atom
data_CePuN
_chemical_formula_sum 'Ce1 Pu1 N1'
_cell_length_a 3.4713
_cell_length_b 3.4713
_cell_length_c 4.8893
_cell_angle_alpha 90.00
_cell_angle_beta 90.00
_cell_angle_gamma 120.00
_space_group_name_H-M_alt 'P 3 m 1'
_space_group_IT_number 156
_space_group_name_Hall 'P 3 -2"'
loop_
_atom_site_label
_atom_site_type_symbol
_atom_site_fract_x
_atom_site_fract_y
_atom_site_fract_z
Ce1 Ce 0.0000 0.0000 0.0000
Pu1 Pu 0.3333 0.6667 0.4164
N1 N 0.6667 0.3333 0.6911

=====

Record 4
# Ac2NdSm | Alexandria via LeMat-Bulk | PBE | optimized geometry
# Density: 7851 kg/m3
# Volume: 633 Å³ per cell
# Energy of formation from the pure elements: 0.111 eV/atom
# ΔE to the lowest computed polymorph: 0.329 eV/f.u.
data_Ac2NdSm
_chemical_formula_sum 'Ac8 Nd4 Sm4'
_cell_length_a 8.588
_cell_length_b 8.588
_cell_length_c 8.588
_cell_angle_alpha 90.00
_cell_angle_beta 90.00
_cell_angle_gamma 90.00
_space_group_name_H-M_alt 'F m -3 m'
_space_group_IT_number 225
_space_group_name_Hall '-F 4 2 3'
loop_
_atom_site_label
_atom_site_type_symbol
_atom_site_fract_x
_atom_site_fract_y
_atom_site_fract_z
Ac1 Ac 0.250 0.250 0.250
Nd1 Nd 0.000 0.000 0.000
Sm1 Sm 0.000 0.000 0.500

=====

Record 5
# AlNiS2 | Alexandria via LeMat-Bulk | PBE | optimized geometry
# Density: 3506 kg/m3
# Volume: 71 Å³ per cell
# Raw formation energy: -0.64 eV per atom
data_AlNiS2
_chemical_formula_sum 'Al1 Ni1 S2'
_cell_length_a 3.6232
_cell_length_b 3.6232
_cell_length_c 6.2403
_cell_angle_alpha 90.00
_cell_angle_beta 90.00
_cell_angle_gamma 120.00
_space_group_name_H-M_alt 'P 3 m 1'
_space_group_IT_number 156
_space_group_name_Hall 'P 3 -2"'
loop_
_atom_site_label
_atom_site_type_symbol
_atom_site_fract_x
_atom_site_fract_y
_atom_site_fract_z
Al1 Al 0.0000 0.0000 0.0000
Ni1 Ni 0.3333 0.6667 0.4581
S1 S 0.0000 0.0000 0.3567
S2 S 0.3333 0.6667 0.8297

=====

Record 6
# ZrSn3O | Alexandria via LeMat-Bulk | PBE | optimized geometry
# Density: 7345 kg/m3
# Volume: 105 Å³ per cell
# ΔE to the lowest computed polymorph: 0.000 eV/f.u.
# Raw formation energy: -0.35 eV per atom
data_ZrSn3O
_chemical_formula_sum 'Zr1 Sn3 O1'
_cell_length_a 4.714
_cell_length_b 4.714
_cell_length_c 4.714
_cell_angle_alpha 90.00
_cell_angle_beta 90.00
_cell_angle_gamma 90.00
_space_group_name_H-M_alt 'P m -3 m'
_space_group_IT_number 221
_space_group_name_Hall '-P 4 2 3'
loop_
_atom_site_label
_atom_site_type_symbol
_atom_site_fract_x
_atom_site_fract_y
_atom_site_fract_z
Zr1 Zr 0.000 0.000 0.000
Sn1 Sn 0.000 0.500 0.500
O1 O 0.500 0.500 0.500